1.
Computed, not measured: crystalline KTaGa2Mo at its relaxed geometry at the PBE level of DFT.

abc: 5.1504 5.1504 4.7823
angles: 90.00 90.00 90.00
Space group P4/mmm (No. 123)
One atom of each set of equivalent atoms:
K  0.0000  0.0000  0.0000
Ta  0.5000  0.5000  0.0000
Ga  0.0000  0.5000  0.5000
Mo  0.5000  0.5000  0.5000

Output
E: -5.372 eV per atom
crystal system: tetragonal
ΔH_f (0 K): 2.97 eV/f.u.

2.
Computed, not measured: crystalline KGa3N at its relaxed geometry at the PBE level of DFT.

abc: 5.7481 5.7481 5.7481
angles: 90.00 90.00 90.00
Space group Pm-3m (No. 221)
One atom of each set of equivalent atoms:
K  0.0000  0.0000  0.0000
Ga  0.0000  0.0000  0.5000
N  0.5000  0.5000  0.5000

Output
E: -1.556 eV per atom
crystal system: cubic
uncorrected formation energy: 2.145 eV per atom
distance to the lowest polymorph of the same formula: 1.546 eV/atom

3.
Computed, not measured: crystalline KGa3N at its relaxed geometry at the PBE level of DFT.

abc: 4.7271 4.7271 4.7271
angles: 90.00 90.00 90.00
Space group Pm-3m (No. 221)
One atom of each set of equivalent atoms:
K  0.0000  0.0000  0.0000
Ga  0.0000  0.5000  0.5000
N  0.5000  0.5000  0.5000

Output
E: -3.102 eV per atom
crystal system: cubic
uncorrected formation energy: 0.599 eV per atom
distance to the lowest polymorph of the same formula: 0.000 eV/atom

4.
Computed, not measured: crystalline K3GaN at its relaxed geometry at the PBE level of DFT.

abc: 5.5848 5.5848 5.5848
angles: 90.00 90.00 90.00
Space group Pm-3m (No. 221)
One atom of each set of equivalent atoms:
K  0.0000  0.0000  0.5000
Ga  0.5000  0.5000  0.5000
N  0.0000  0.0000  0.0000

Output
E: -2.371 eV per atom
crystal system: cubic
uncorrected formation energy: 0.558 eV per atom
distance to the lowest polymorph of the same formula: 0.000 eV/atom

5.
Computed, not measured: crystalline KGaN2 at its relaxed geometry at the PBE level of DFT.

abc: 4.2391 4.2391 19.9617
angles: 90.00 90.00 120.00
Space group R-3m (No. 166, hexagonal axes)
One atom of each set of equivalent atoms:
K  0.0000  0.0000  0.0000
Ga  0.0000  0.0000  0.5000
N  0.0000  0.0000  0.4123

Output
E: -4.222 eV per atom
crystal system: trigonal
uncorrected formation energy: 0.971 eV per atom

6.
Computed, not measured: crystalline K2GaN at its relaxed geometry at the PBE level of DFT.

abc: 7.2919 7.2919 7.2919
angles: 90.00 90.00 90.00
Space group Fm-3m (No. 225)
One atom of each set of equivalent atoms:
K  0.2500  0.2500  0.2500
Ga  0.0000  0.0000  0.0000
N  0.0000  0.0000  0.5000

Output
E: -2.483 eV per atom
crystal system: cubic
uncorrected formation energy: 0.904 eV per atom

7.
Computed, not measured: crystalline KGa2N at its relaxed geometry at the PBE level of DFT.

abc: 4.9871 4.9871 14.5502
angles: 90.00 90.00 90.00
Space group I4_1/amd (No. 141, origin choice 2)
One atom of each set of equivalent atoms:
K  0.0000  0.2500  0.3750
Ga  0.0000  0.0000  0.0000
N  0.0000  0.2500  0.8750

Output
E: -3.389 eV per atom
crystal system: tetragonal
uncorrected formation energy: 0.480 eV per atom

8.
Computed, not measured: crystalline KGaN2 at its relaxed geometry at the PBE level of DFT.

abc: 3.2644 3.2644 20.7449
angles: 90.00 90.00 120.00
Space group R-3m (No. 166, hexagonal axes)
One atom of each set of equivalent atoms:
K  0.0000  0.0000  0.0000
Ga  0.0000  0.0000  0.5000
N  0.0000  0.0000  0.1204

Output
E: -4.353 eV per atom
crystal system: trigonal
uncorrected formation energy: 0.841 eV per atom

9.
Computed, not measured: crystalline K2NaGaN at its relaxed geometry at the PBE level of DFT.

abc: 6.3079 6.3079 3.9000
angles: 90.00 90.00 90.00
Space group P4/mmm (No. 123)
One atom of each set of equivalent atoms:
K  0.0000  0.5000  0.0000
Na  0.0000  0.0000  0.5000
Ga  0.5000  0.5000  0.5000
N  0.5000  0.5000  0.0000

Output
E: -2.787 eV per atom
crystal system: tetragonal
uncorrected formation energy: 0.186 eV per atom

10.
Computed, not measured: crystalline KNbGa2N at its relaxed geometry at the PBE level of DFT.

abc: 5.2935 5.2935 4.0329
angles: 90.00 90.00 90.00
Space group P4/mmm (No. 123)
One atom of each set of equivalent atoms:
K  0.0000  0.0000  0.0000
Nb  0.5000  0.5000  0.0000
Ga  0.0000  0.5000  0.5000
N  0.5000  0.5000  0.5000

Output
E: -4.614 eV per atom
crystal system: tetragonal
uncorrected formation energy: 0.495 eV per atom
distance to the lowest polymorph of the same formula: 0.000 eV/atom

11.
Computed, not measured: crystalline KNbGa2N at its relaxed geometry at the PBE level of DFT.

abc: 4.3178 4.3178 4.8057
angles: 90.00 90.00 90.00
Space group P4/mmm (No. 123)
One atom of each set of equivalent atoms:
K  0.0000  0.0000  0.0000
Nb  0.5000  0.5000  0.0000
Ga  0.0000  0.5000  0.5000
N  0.0000  0.0000  0.5000

Output
E: -3.975 eV per atom
crystal system: tetragonal
uncorrected formation energy: 1.135 eV per atom
distance to the lowest polymorph of the same formula: 0.640 eV/atom

12.
Computed, not measured: crystalline KGaN2O at its relaxed geometry at the PBE level of DFT.

abc: 4.1582 4.1582 4.0131
angles: 90.00 90.00 90.00
Space group P4/mmm (No. 123)
One atom of each set of equivalent atoms:
K  0.0000  0.0000  0.0000
Ga  0.5000  0.5000  0.5000
N  0.0000  0.5000  0.5000
O  0.5000  0.5000  0.0000

Output
E: -4.626 eV per atom
crystal system: tetragonal
uncorrected formation energy: 0.520 eV per atom

13.
Computed, not measured: crystalline KGaNO2 at its relaxed geometry at the PBE level of DFT.

abc: 4.0135 4.0135 4.1433
angles: 90.00 90.00 90.00
Space group P4/mmm (No. 123)
One atom of each set of equivalent atoms:
K  0.0000  0.0000  0.0000
Ga  0.5000  0.5000  0.5000
N  0.5000  0.5000  0.0000
O  0.0000  0.5000  0.5000

Output
E: -4.748 eV per atom
crystal system: tetragonal
uncorrected formation energy: -0.275 eV per atom

14.
Computed, not measured: crystalline KGaN2O at its relaxed geometry at the PBE level of DFT.

abc: 5.1374 5.1374 4.7627
angles: 90.00 90.00 90.00
Space group P4/mmm (No. 123)
One atom of each set of equivalent atoms:
K  0.0000  0.0000  0.0000
Ga  0.5000  0.5000  0.5000
N  0.0000  0.5000  0.0000
O  0.0000  0.0000  0.5000

Output
E: -3.178 eV per atom
crystal system: tetragonal
uncorrected formation energy: 1.968 eV per atom

15.
Computed, not measured: crystalline KGaNO2 at its relaxed geometry at the PBE level of DFT.

abc: 4.8612 4.8612 5.0938
angles: 90.00 90.00 90.00
Space group P4/mmm (No. 123)
One atom of each set of equivalent atoms:
K  0.0000  0.0000  0.0000
Ga  0.5000  0.5000  0.5000
N  0.0000  0.0000  0.5000
O  0.0000  0.5000  0.0000

Output
E: -3.179 eV per atom
crystal system: tetragonal
uncorrected formation energy: 1.295 eV per atom

16.
Computed, not measured: crystalline K4Pa3GaN8 at its relaxed geometry at the PBE level of DFT.

abc: 12.6622 6.7507 7.5590
angles: 90.00 120.98 90.00
Space group C2/m (No. 12)
One atom of each set of equivalent atoms:
K  0.0000  0.0000  0.0000
K  0.0000  0.5000  0.0000
K  0.2500  0.2500  0.0000
Pa  0.0000  0.0000  0.5000
Pa  0.2500  0.2500  0.5000
Ga  0.0000  0.5000  0.5000
N  0.0267  0.2607  0.3393
N  0.2194  0.0000  0.6680
N  0.2423  0.0000  0.3087

Output
E: -7.093 eV per atom
crystal system: monoclinic
uncorrected formation energy: -0.687 eV per atom

17.
Computed, not measured: crystalline KGaPt2N at its relaxed geometry at the PBE level of DFT.

abc: 5.2746 5.2746 6.0718
angles: 90.00 90.00 90.00
Space group P4/mmm (No. 123)
One atom of each set of equivalent atoms:
K  0.0000  0.0000  0.0000
Ga  0.0000  0.0000  0.5000
Pt  0.0000  0.5000  0.0000
N  0.5000  0.5000  0.5000

Output
E: -2.338 eV per atom
crystal system: tetragonal
uncorrected formation energy: 2.569 eV per atom

18.
Computed, not measured: crystalline K2GaReN4 at its relaxed geometry at the PBE level of DFT.

abc: 5.7549 5.7549 8.3714
angles: 90.00 90.00 90.00
Space group I-4 (No. 82)
One atom of each set of equivalent atoms:
K  0.0000  0.0000  0.0000
K  0.0000  0.5000  0.2500
Ga  0.0000  0.0000  0.5000
Re  0.0000  0.5000  0.7500
N  0.1045  0.2584  0.6277

Output
E: -6.691 eV per atom
crystal system: tetragonal
uncorrected formation energy: -0.320 eV per atom

19.
Computed, not measured: crystalline KGaSN2 at its relaxed geometry at the PBE level of DFT.

abc: 4.2198 4.2198 4.9536
angles: 90.00 90.00 90.00
Space group P4/mmm (No. 123)
One atom of each set of equivalent atoms:
K  0.0000  0.0000  0.0000
Ga  0.5000  0.5000  0.5000
S  0.5000  0.5000  0.0000
N  0.0000  0.5000  0.5000

Output
E: -4.139 eV per atom
crystal system: tetragonal
uncorrected formation energy: 0.841 eV per atom
distance to the lowest polymorph of the same formula: 0.000 eV/atom

20.
Computed, not measured: crystalline KGaSN2 at its relaxed geometry at the PBE level of DFT.

abc: 5.0375 5.0375 6.0477
angles: 90.00 90.00 90.00
Space group P4/mmm (No. 123)
One atom of each set of equivalent atoms:
K  0.0000  0.0000  0.0000
Ga  0.5000  0.5000  0.5000
S  0.0000  0.0000  0.5000
N  0.0000  0.5000  0.0000

Output
E: -2.987 eV per atom
crystal system: tetragonal
uncorrected formation energy: 1.994 eV per atom
distance to the lowest polymorph of the same formula: 1.153 eV/atom

21.
Computed, not measured: crystalline KGaSeN2 at its relaxed geometry at the PBE level of DFT.

abc: 4.2681 4.2681 5.2196
angles: 90.00 90.00 90.00
Space group P4/mmm (No. 123)
One atom of each set of equivalent atoms:
K  0.0000  0.0000  0.0000
Ga  0.5000  0.5000  0.5000
Se  0.5000  0.5000  0.0000
N  0.0000  0.5000  0.5000

Output
E: -3.963 eV per atom
crystal system: tetragonal
uncorrected formation energy: 0.889 eV per atom
distance to the lowest polymorph of the same formula: 0.000 eV/atom

22.
Computed, not measured: crystalline KGaSeN2 at its relaxed geometry at the PBE level of DFT.

abc: 5.0223 5.0223 6.3557
angles: 90.00 90.00 90.00
Space group P4/mmm (No. 123)
One atom of each set of equivalent atoms:
K  0.0000  0.0000  0.0000
Ga  0.5000  0.5000  0.5000
Se  0.0000  0.0000  0.5000
N  0.0000  0.5000  0.0000

Output
E: -2.936 eV per atom
crystal system: tetragonal
uncorrected formation energy: 1.916 eV per atom
distance to the lowest polymorph of the same formula: 1.026 eV/atom

23.
Computed, not measured: crystalline KGaSi2N at its relaxed geometry at the PBE level of DFT.

abc: 4.6954 4.6954 6.7519
angles: 90.00 90.00 90.00
Space group P4/mmm (No. 123)
One atom of each set of equivalent atoms:
K  0.0000  0.0000  0.0000
Ga  0.0000  0.0000  0.5000
Si  0.0000  0.5000  0.5000
N  0.5000  0.5000  0.0000

Output
E: -3.202 eV per atom
crystal system: tetragonal
uncorrected formation energy: 1.457 eV per atom

24.
Computed, not measured: crystalline KGaTe2N at its relaxed geometry at the PBE level of DFT.

abc: 6.3912 6.3912 5.0798
angles: 90.00 90.00 90.00
Space group P4/mmm (No. 123)
One atom of each set of equivalent atoms:
K  0.0000  0.0000  0.0000
Ga  0.5000  0.5000  0.5000
Te  0.0000  0.5000  0.0000
N  0.0000  0.0000  0.5000

Output
E: -2.467 eV per atom
crystal system: tetragonal
uncorrected formation energy: 1.280 eV per atom
distance to the lowest polymorph of the same formula: 1.103 eV/atom

25.
Computed, not measured: crystalline K2GaTeN at its relaxed geometry at the PBE level of DFT.

abc: 6.6126 6.6126 3.5970
angles: 90.00 90.00 90.00
Space group P4/mmm (No. 123)
One atom of each set of equivalent atoms:
K  0.0000  0.5000  0.0000
Ga  0.0000  0.0000  0.0000
Te  0.5000  0.5000  0.5000
N  0.0000  0.0000  0.5000

Output
E: -3.449 eV per atom
crystal system: tetragonal
uncorrected formation energy: -0.111 eV per atom

26.
Computed, not measured: crystalline KGa2TeN at its relaxed geometry at the PBE level of DFT.

abc: 5.8569 5.8569 4.2304
angles: 90.00 90.00 90.00
Space group P4/mmm (No. 123)
One atom of each set of equivalent atoms:
K  0.0000  0.0000  0.0000
Ga  0.0000  0.5000  0.5000
Te  0.5000  0.5000  0.5000
N  0.5000  0.5000  0.0000

Output
E: -2.992 eV per atom
crystal system: tetragonal
uncorrected formation energy: 0.732 eV per atom

27.
Computed, not measured: crystalline KGaTe2N at its relaxed geometry at the PBE level of DFT.

abc: 6.2501 6.2501 3.4967
angles: 90.00 90.00 90.00
Space group P4/mmm (No. 123)
One atom of each set of equivalent atoms:
K  0.0000  0.0000  0.0000
Ga  0.5000  0.5000  0.5000
Te  0.0000  0.5000  0.5000
N  0.5000  0.5000  0.0000

Output
E: -3.570 eV per atom
crystal system: tetragonal
uncorrected formation energy: 0.176 eV per atom
distance to the lowest polymorph of the same formula: 0.000 eV/atom

28.
Computed, not measured: crystalline KTiGaN2 at its relaxed geometry at the PBE level of DFT.

abc: 4.3402 4.3402 4.8537
angles: 90.00 90.00 90.00
Space group P4/mmm (No. 123)
One atom of each set of equivalent atoms:
K  0.0000  0.0000  0.0000
Ti  0.5000  0.5000  0.5000
Ga  0.0000  0.0000  0.5000
N  0.0000  0.5000  0.0000

Output
E: -3.292 eV per atom
crystal system: tetragonal
uncorrected formation energy: 2.442 eV per atom
distance to the lowest polymorph of the same formula: 0.000 eV/atom